Record 1
## Ac2H6IrRh (GGA-PBE)

Data for a relaxed structure of Ac2H6IrRh.

Summary:
DOS at the Fermi energy in states/eV per cell: 2.57
Space group: Fmm2, No. 42
M_tot in μB per cell: 0.0
Uncorrected energy in eV/atom: -4.943
Mass density in g/cm³: 10.51

```
10
Lattice="-1.214 -2.829 4.626 -4.351 -2.449 -2.440 5.069 -0.252 -2.263" Properties=species:S:1:pos:R:3 pbc="T T T"
H 1.460 -2.791 -3.026
Ac -1.035 -2.670 -1.806
Rh 2.278 -2.895 -1.169
H 3.107 -2.991 0.685
Ir 3.853 -3.080 2.362
H 1.100 -1.391 -0.565
H 3.811 -1.442 -1.771
H -1.602 -4.139 0.486
H 0.761 -4.335 -0.573
Ac 0.533 -2.860 1.727
```



Record 2
## Pr3Zn2Ag9 (GGA-PBE)

Data for a relaxed structure of Pr3Zn2Ag9.

Summary:
ΔH_f (0 K) in eV per atom: -0.19
DOS at the Fermi energy in states/eV per cell: 7.69
Space group: Immm, No. 71
M_tot in μB per cell: 0.0
Uncorrected energy in eV/atom: -3.234
Mass density in g/cm³: 8.32

```
14
Lattice="-4.628 -0.109 0.221 -1.894 -5.656 6.153 -2.083 4.316 7.105" Properties=species:S:1:pos:R:3 pbc="T T T"
Ag -6.576 1.248 8.705
Ag -2.182 -1.624 2.098
Ag -1.989 -0.670 6.629
Zn -4.340 1.216 6.924
Ag -2.234 1.115 2.359
Pr -4.174 -0.968 9.315
Pr -4.431 -0.481 4.163
Ag -6.493 -3.118 8.289
Ag -2.112 1.669 5.190
Ag -2.030 -2.698 4.773
Ag -6.423 0.175 11.380
Ag -6.371 -2.565 11.119
Zn -4.266 -2.665 6.554
Pr 0.000 0.000 0.000
```



The highest mass density belongs to which entry? Ac2H6IrRh



M_tot of number 2 (Pr3Zn2Ag9)? 0.0 μB per cell



Among the records above, which one has the highest mass density? Ac2H6IrRh